Mg2MoO2: optimized geometry, PBE with a Hubbard U.

The structure in CIF format:
```
data_Mg2MoO2
_cell_length_a 6.225
_cell_length_b 6.225
_cell_length_c 3.953
_cell_angle_alpha 90.00
_cell_angle_beta 90.00
_cell_angle_gamma 90.00
_space_group_name_H-M_alt 'P 1'
_space_group_IT_number 1
loop_
_space_group_symop_operation_xyz
'x,y,z'
loop_
_atom_site_label
_atom_site_fract_x
_atom_site_fract_y
_atom_site_fract_z
Mg1 0.180 0.320 0.000
Mg2 0.320 0.820 0.000
Mg3 0.680 0.180 0.000
Mg4 0.820 0.680 0.000
Mo1 0.000 0.000 0.500
Mo2 0.500 0.500 0.500
O1 0.211 0.289 0.500
O2 0.289 0.789 0.500
O3 0.711 0.211 0.500
O4 0.789 0.711 0.500
```

## Properties
Raw total energy ... -5.047 eV/atom
Crystal system ... tetragonal
E above lowest polymorph ... 360.3 meV per atom
SG ... P4/mbm